Record 1
DFT (GGA-PBEsol) results for a geometry-optimized NiTe2Rh structure.

Output
**Calculated total energy**: -5.0963 eV per atom
**Formation energy (no corrections)**: 240.7 meV/atom
**Magnetization**: 0.0 μB/f.u.

Structure (POSCAR):
```
NiTe2Rh
1.0
3.8721 0.0000 0.0000
0.0000 3.8721 0.0000
0.0000 0.0000 9.5859
Ni Te Rh
2 4 2
direct
0.0000 0.0000 0.0000 Ni
0.5000 0.5000 0.5000 Ni
0.0000 0.0000 0.5000 Te
0.0000 0.5000 0.7500 Te
0.5000 0.0000 0.2500 Te
0.5000 0.5000 0.0000 Te
0.0000 0.5000 0.2500 Rh
0.5000 0.0000 0.7500 Rh
```

***

Record 2
DFT (GGA-PBEsol) results for a geometry-optimized Ti2Ni2Rh structure.

Output
**Calculated total energy**: -7.9155 eV per atom
**DFT formation energy**: -496 meV/atom
**Magnetization**: 0.0 μB/f.u.

Structure (POSCAR):
```
Ti2Ni2Rh
1.0
6.6721 0.0000 0.0000
0.0000 6.6721 0.0000
0.0000 0.0000 2.9311
Ti Ni Rh
4 4 2
direct
0.1763 0.3237 0.0000 Ti
0.3237 0.8237 0.0000 Ti
0.6763 0.1763 0.0000 Ti
0.8237 0.6763 0.0000 Ti
0.1251 0.6251 0.5000 Ni
0.3749 0.1251 0.5000 Ni
0.6251 0.8749 0.5000 Ni
0.8749 0.3749 0.5000 Ni
0.0000 0.0000 0.5000 Rh
0.5000 0.5000 0.5000 Rh
```

***

Record 3
DFT (GGA-PBEsol) results for a geometry-optimized NiRhW2 structure.

Output
**Calculated total energy**: -10.5346 eV per atom
**DFT formation energy**: -57 meV/atom
**Magnetization**: 0.0 μB/f.u.
**Polymorph energy (0 for the lowest one)**: 15 meV per atom

Structure (POSCAR):
```
NiRhW2
1.0
2.6893 0.0000 0.0000
0.0000 3.8429 0.0000
0.0000 0.0000 5.3264
Ni Rh W
1 1 2
direct
0.0000 0.0000 0.0000 Ni
0.0000 0.0000 0.5000 Rh
0.5000 0.5000 0.2453 W
0.5000 0.5000 0.7547 W
```